[1]
Density functional theory data (GGA-PBE) for an optimized crystal structure of CsMg2CdBr8.

```
data_CsMg2CdBr8
_space_group_name_H-M_alt 'R -3'
_space_group_IT_number 148
_space_group_name_Hall '-R 3'
_cell_length_a 7.0244
_cell_length_b 7.0244
_cell_length_c 29.7552
_cell_angle_alpha 90.00
_cell_angle_beta 90.00
_cell_angle_gamma 120.00
loop_
_atom_site_label
_atom_site_type_symbol
_atom_site_fract_x
_atom_site_fract_y
_atom_site_fract_z
_atom_site_occupancy
Cs1 Cs 0.0000 0.0000 0.0000 1
Mg1 Mg 0.0000 0.0000 0.2411 1
Cd1 Cd 0.0000 0.0000 0.5000 1
Br1 Br 0.0000 0.0000 0.3261 1
Br2 Br 0.0029 0.3505 0.7788 1
```

Computed properties:
ΔE_f (raw) (meV/atom): -1144

---

[2]
Density functional theory data (GGA-PBE) for an optimized crystal structure of Pa2ZnRh2.

```
data_Pa2ZnRh2
_space_group_name_H-M_alt 'I m m m'
_space_group_IT_number 71
_space_group_name_Hall '-I 2 2'
_cell_length_a 4.536
_cell_length_b 5.750
_cell_length_c 7.561
_cell_angle_alpha 90.00
_cell_angle_beta 90.00
_cell_angle_gamma 90.00
loop_
_atom_site_label
_atom_site_type_symbol
_atom_site_fract_x
_atom_site_fract_y
_atom_site_fract_z
_atom_site_occupancy
Pa1 Pa 0.000 0.000 0.191 1
Zn1 Zn 0.000 0.500 0.000 1
Rh1 Rh 0.000 0.255 0.500 1
```

Computed properties:
Formation enthalpy at 0 K (eV per atom): -0.642

---

[3]
Density functional theory data (GGA-PBE) for an optimized crystal structure of CaReMo.

```
data_CaReMo
_space_group_name_H-M_alt 'I m m 2'
_space_group_IT_number 44
_cell_length_a 2.662
_cell_length_b 5.042
_cell_length_c 8.241
_cell_angle_alpha 90.00
_cell_angle_beta 90.00
_cell_angle_gamma 90.00
loop_
_space_group_symop_operation_xyz
'x,y,z'
'-x,-y,z'
'-x,y,z'
'x,-y,z'
'x+1/2,y+1/2,z+1/2'
'-x+1/2,-y+1/2,z+1/2'
'-x+1/2,y+1/2,z+1/2'
'x+1/2,-y+1/2,z+1/2'
loop_
_atom_site_label
_atom_site_type_symbol
_atom_site_fract_x
_atom_site_fract_y
_atom_site_fract_z
_atom_site_occupancy
Ca1 Ca 0.000 0.000 0.000 1
Re1 Re 0.000 0.000 0.349 1
Mo1 Mo 0.000 0.000 0.655 1
```

Computed properties:
Offset from the most stable computed form (meV/atom): 349
Formation enthalpy at 0 K (eV per atom): 0.762

---

[4]
Density functional theory data (GGA-PBE) for an optimized crystal structure of La2Os.

```
data_La2Os
_space_group_name_H-M_alt 'P a -3'
_space_group_IT_number 205
_space_group_name_Hall '-P 2ac 2ab 3'
_cell_length_a 7.144
_cell_length_b 7.144
_cell_length_c 7.144
_cell_angle_alpha 90.00
_cell_angle_beta 90.00
_cell_angle_gamma 90.00
loop_
_atom_site_label
_atom_site_type_symbol
_atom_site_fract_x
_atom_site_fract_y
_atom_site_fract_z
_atom_site_occupancy
La1 La 0.171 0.171 0.171 1
Os1 Os 0.000 0.000 0.500 1
```

Computed properties:
Formation enthalpy at 0 K (eV per atom): -0.092

---

[5]
Density functional theory data (GGA-PBE) for an optimized crystal structure of CsPS2O.

```
data_CsPS2O
_space_group_name_H-M_alt 'P 4/m m m'
_space_group_IT_number 123
_space_group_name_Hall '-P 4 2'
_cell_length_a 6.399
_cell_length_b 6.399
_cell_length_c 3.319
_cell_angle_alpha 90.00
_cell_angle_beta 90.00
_cell_angle_gamma 90.00
loop_
_atom_site_label
_atom_site_type_symbol
_atom_site_fract_x
_atom_site_fract_y
_atom_site_fract_z
_atom_site_occupancy
Cs1 Cs 0.000 0.000 0.000 1
P1 P 0.500 0.500 0.000 1
S1 S 0.000 0.500 0.500 1
O1 O 0.500 0.500 0.500 1
```

Computed properties:
Offset from the most stable computed form (meV/atom): 0
ΔE_f (raw) (meV/atom): 318

---

[6]
Density functional theory data (GGA-PBE) for an optimized crystal structure of FeTe2Br8.

```
data_FeTe2Br8
_space_group_name_H-M_alt 'C 1 2/m 1'
_space_group_IT_number 12
_cell_length_a 13.269
_cell_length_b 7.284
_cell_length_c 10.946
_cell_angle_alpha 90.00
_cell_angle_beta 97.60
_cell_angle_gamma 90.00
loop_
_space_group_symop_operation_xyz
'x,y,z'
'-x,-y,-z'
'-x,y,-z'
'x,-y,z'
'x+1/2,y+1/2,z'
'-x+1/2,-y+1/2,-z'
'-x+1/2,y+1/2,-z'
'x+1/2,-y+1/2,z'
loop_
_atom_site_label
_atom_site_type_symbol
_atom_site_fract_x
_atom_site_fract_y
_atom_site_fract_z
_atom_site_occupancy
Fe1 Fe 0.000 0.000 0.000 1
Te1 Te 0.203 0.000 0.351 1
Br1 Br 0.081 0.230 0.129 1
Br2 Br 0.139 0.500 0.748 1
Br3 Br 0.214 0.500 0.423 1
```

Computed properties:
ΔE_f (raw) (meV/atom): -206

---

[7]
Density functional theory data (GGA-PBE) for an optimized crystal structure of Y3HW.

```
data_Y3HW
_space_group_name_H-M_alt 'P m -3 m'
_space_group_IT_number 221
_space_group_name_Hall '-P 4 2 3'
_cell_length_a 4.716
_cell_length_b 4.716
_cell_length_c 4.716
_cell_angle_alpha 90.00
_cell_angle_beta 90.00
_cell_angle_gamma 90.00
loop_
_atom_site_label
_atom_site_type_symbol
_atom_site_fract_x
_atom_site_fract_y
_atom_site_fract_z
_atom_site_occupancy
Y1 Y 0.000 0.000 0.500 1
H1 H 0.000 0.000 0.000 1
W1 W 0.500 0.500 0.500 1
```

Computed properties:
Offset from the most stable computed form (meV/atom): 0

---

[8]
Density functional theory data (GGA-PBE) for an optimized crystal structure of CsBr2O.

```
data_CsBr2O
_space_group_name_H-M_alt 'R -3 m'
_space_group_IT_number 166
_space_group_name_Hall '-R 3 2"'
_cell_length_a 5.0949
_cell_length_b 5.0949
_cell_length_c 17.8066
_cell_angle_alpha 90.00
_cell_angle_beta 90.00
_cell_angle_gamma 120.00
loop_
_atom_site_label
_atom_site_type_symbol
_atom_site_fract_x
_atom_site_fract_y
_atom_site_fract_z
_atom_site_occupancy
Cs1 Cs 0.0000 0.0000 0.0000 1
Br1 Br 0.0000 0.0000 0.2139 1
O1 O 0.0000 0.0000 0.5000 1
```

Computed properties:
Offset from the most stable computed form (meV/atom): 412
ΔE_f (raw) (meV/atom): -109

---

Number 1: final energy -2.672 eV/atom, D(E_F) 60.05 states/eV per cell. Number 2: final energy -7.635 eV/atom, D(E_F) 13.32 states/eV per cell. Number 3: final energy -7.665 eV/atom, D(E_F) 4.80 states/eV per cell. Number 4: final energy -7.120 eV/atom, D(E_F) 10.22 states/eV per cell. Number 5: final energy -3.578 eV/atom, D(E_F) 5.01 states/eV per cell. Number 6: final energy -2.763 eV/atom, D(E_F) 15.14 states/eV per cell. Number 7: final energy -6.875 eV/atom, D(E_F) 6.77 states/eV per cell. Number 8: final energy -2.398 eV/atom, D(E_F) 13.59 states/eV per cell.